[1]
DFT (GGA-PBE) results for a geometry-optimized Li3Ir2O6 structure.

Geometry as POSCAR:
```
Li3Ir2O6
1.0
2.591 -4.437 0.000
2.591 4.437 0.000
-1.775 0.000 4.765
Li Ir O
3 2 6
Direct
0.000 0.000 0.000
0.497 0.503 0.500
0.842 0.158 0.500
0.322 0.678 0.000
0.661 0.339 0.000
0.072 0.427 0.225
0.267 0.288 0.768
0.430 0.095 0.236
0.573 0.928 0.775
0.712 0.733 0.232
0.905 0.570 0.764
```

Properties
As for the crystal system: monoclinic. For the offset from the most stable computed form, the calculation gives 25.5 meV per atom.


[2]
DFT (GGA-PBE) results for a geometry-optimized Sc4CoAuN2 structure.

Geometry as POSCAR:
```
Sc4CoAuN2
1.0
3.195 0.000 0.000
-1.597 2.767 0.000
0.000 0.000 13.429
Sc Co Au N
4 1 1 2
Direct
0.000 0.000 0.141
0.000 0.000 0.859
0.667 0.333 0.330
0.667 0.333 0.670
0.667 0.333 0.000
0.000 0.000 0.500
0.333 0.667 0.240
0.333 0.667 0.760
```

Properties
As for the crystal system: hexagonal.


Raw total energy in eV/cell, matching the order above: -66.639; -60.554